Record 1
A PBEsol-optimized structure of Re2WAu. Source: Alexandria via LeMat-Bulk, functional SCAN.

Lattice parameters (Å, degrees): 9.396 9.396 9.396 16.97 16.97 16.97
Atoms (fractional coordinates):
Re 0.000 0.000 0.000
Re 0.257 0.257 0.257
W 0.750 0.750 0.750
Au 0.503 0.503 0.503

**Formation energy from the elements**: 0.24 eV/atom
**SG**: R3m (160)
**Total moment**: 0.00 μB/atom
**Offset from the most stable computed form**: 0 meV/atom
**Final energy**: -70.02 eV/atom
**Crystal system**: trigonal

=====

Record 2
A PBEsol-optimized structure of Re2WAu. Source: Alexandria via LeMat-Bulk, functional SCAN.

Lattice parameters (Å, degrees): 4.438 4.438 4.438 60.00 60.00 60.00
Atoms (fractional coordinates):
Re 0.000 0.000 0.000
Re 0.250 0.250 0.250
W 0.750 0.750 0.750
Au 0.500 0.500 0.500

**Formation energy from the elements**: 0.57 eV/atom
**SG**: F-43m (216)
**Total moment**: 0.00 μB/atom
**Offset from the most stable computed form**: 336 meV/atom
**Final energy**: -69.69 eV/atom
**Crystal system**: cubic

=====

Record 3
A PBEsol-optimized structure of ZrRe2WAu. Source: Alexandria via LeMat-Bulk, functional SCAN.

Lattice parameters (Å, degrees): 4.619 4.619 4.847 90.00 90.00 90.00
Atoms (fractional coordinates):
Zr 0.000 0.000 0.000
Re 0.000 0.500 0.000
Re 0.500 0.000 0.000
W 0.500 0.500 0.500
Au 0.000 0.000 0.500

**Formation energy from the elements**: 2.77 eV/atom
**SG**: P4/mmm (123)
**Total moment**: 0.24 μB/atom
**Final energy**: -59.58 eV/atom
**Crystal system**: tetragonal

=====

Record 4
A PBEsol-optimized structure of YRe2Au. Source: Alexandria via LeMat-Bulk, functional SCAN.

Lattice parameters (Å, degrees): 3.924 3.924 4.476 90.00 90.00 90.00
Atoms (fractional coordinates):
Y 0.000 0.000 0.000
Re 0.000 0.500 0.500
Re 0.500 0.000 0.500
Au 0.500 0.500 0.000

**Formation energy from the elements**: 0.23 eV/atom
**SG**: P4/mmm (123)
**Total moment**: 0.00 μB/atom
**Offset from the most stable computed form**: 0 meV/atom
**Final energy**: -59.57 eV/atom
**Crystal system**: tetragonal

=====

Record 5
A PBEsol-optimized structure of YRe2Au. Source: Alexandria via LeMat-Bulk, functional SCAN.

Lattice parameters (Å, degrees): 9.738 9.738 9.738 17.02 17.02 17.02
Atoms (fractional coordinates):
Y 0.000 0.000 0.000
Re 0.243 0.243 0.243
Re 0.507 0.507 0.507
Au 0.757 0.757 0.757

**Formation energy from the elements**: 0.32 eV/atom
**SG**: R3m (160)
**Total moment**: 0.00 μB/atom
**Offset from the most stable computed form**: 94 meV/atom
**Final energy**: -59.48 eV/atom
**Crystal system**: trigonal

=====

Record 6
A PBEsol-optimized structure of YRe3Au. Source: Alexandria via LeMat-Bulk, functional SCAN.

Lattice parameters (Å, degrees): 4.791 4.791 4.791 90.00 90.00 90.00
Atoms (fractional coordinates):
Y 0.000 0.000 0.000
Re 0.000 0.500 0.500
Re 0.500 0.000 0.500
Re 0.500 0.500 0.000
Au 0.500 0.500 0.500

**Formation energy from the elements**: 2.20 eV/atom
**SG**: Pm-3m (221)
**Total moment**: 0.00 μB/atom
**Final energy**: -59.86 eV/atom
**Crystal system**: cubic

=====

Record 7
A PBEsol-optimized structure of YRe2Au. Source: Alexandria via LeMat-Bulk, functional SCAN.

Lattice parameters (Å, degrees): 2.661 4.404 6.055 90.00 90.00 90.00
Atoms (fractional coordinates):
Y 0.000 0.000 0.000
Re 0.500 0.500 0.291
Re 0.500 0.500 0.709
Au 0.000 0.000 0.500

**Formation energy from the elements**: 0.50 eV/atom
**SG**: Pmmm (47)
**Total moment**: 0.00 μB/atom
**Offset from the most stable computed form**: 275 meV/atom
**Final energy**: -59.30 eV/atom
**Crystal system**: orthorhombic

=====

Record 8
A PBEsol-optimized structure of YRe2Au. Source: Alexandria via LeMat-Bulk, functional SCAN.

Lattice parameters (Å, degrees): 2.751 2.751 9.058 90.00 90.00 90.00
Atoms (fractional coordinates):
Y 0.000 0.000 0.000
Re 0.500 0.500 0.269
Re 0.500 0.500 0.731
Au 0.000 0.000 0.500

**Formation energy from the elements**: 0.60 eV/atom
**SG**: P4/mmm (123)
**Total moment**: 0.00 μB/atom
**Offset from the most stable computed form**: 367 meV/atom
**Final energy**: -59.20 eV/atom
**Crystal system**: tetragonal

=====

Record 9
A PBEsol-optimized structure of YRe2Au. Source: Alexandria via LeMat-Bulk, functional SCAN.

Lattice parameters (Å, degrees): 3.024 4.945 4.762 90.00 93.10 90.00
Atoms (fractional coordinates):
Y 0.000 0.000 0.000
Re 0.325 0.500 0.759
Re 0.675 0.500 0.241
Au 0.500 0.000 0.500

**Formation energy from the elements**: 0.27 eV/atom
**SG**: P2/m (10)
**Total moment**: 0.00 μB/atom
**Offset from the most stable computed form**: 46 meV/atom
**Final energy**: -59.52 eV/atom
**Crystal system**: monoclinic

=====

Record 10
A PBEsol-optimized structure of ZnReAu2. Source: Alexandria via LeMat-Bulk, functional SCAN.

Lattice parameters (Å, degrees): 4.769 4.769 4.769 129.81 129.81 73.71
Atoms (fractional coordinates):
Zn 0.000 0.000 0.000
Re 0.250 0.750 0.500
Au 0.500 0.500 0.000
Au 0.750 0.250 0.500

**Formation energy from the elements**: 0.49 eV/atom
**SG**: I-4m2 (119)
**Total moment**: 0.57 μB/atom
**Final energy**: -55.24 eV/atom
**Crystal system**: tetragonal

=====

Record 11
A PBEsol-optimized structure of ZnReAu2. Source: Alexandria via LeMat-Bulk, functional SCAN.

Lattice parameters (Å, degrees): 4.853 4.853 2.687 90.00 90.00 90.00
Atoms (fractional coordinates):
Zn 0.000 0.000 0.000
Re 0.500 0.500 0.000
Au 0.000 0.500 0.500
Au 0.500 0.000 0.500

**Formation energy from the elements**: 0.28 eV/atom
**SG**: P4/mmm (123)
**Total moment**: 0.27 μB/atom
**Final energy**: -55.46 eV/atom
**Crystal system**: tetragonal

=====

Record 12
A PBEsol-optimized structure of Zn2ReAu. Source: Alexandria via LeMat-Bulk, functional SCAN.

Lattice parameters (Å, degrees): 4.649 4.649 4.649 129.44 129.44 74.30
Atoms (fractional coordinates):
Zn 0.250 0.750 0.500
Zn 0.750 0.250 0.500
Re 0.000 0.000 0.000
Au 0.500 0.500 0.000

**Formation energy from the elements**: 0.38 eV/atom
**SG**: I4/mmm (139)
**Total moment**: 0.00 μB/atom
**Offset from the most stable computed form**: 306 meV/atom
**Final energy**: -41.45 eV/atom
**Crystal system**: tetragonal

=====

Record 13
A PBEsol-optimized structure of Zn2ReAu. Source: Alexandria via LeMat-Bulk, functional SCAN.

Lattice parameters (Å, degrees): 2.661 4.253 5.245 90.00 90.28 90.00
Atoms (fractional coordinates):
Zn 0.012 0.000 0.227
Zn 0.988 0.000 0.773
Re 0.500 0.500 0.000
Au 0.000 0.500 0.500

**Formation energy from the elements**: 0.18 eV/atom
**SG**: P2/m (10)
**Total moment**: 0.00 μB/atom
**Offset from the most stable computed form**: 107 meV/atom
**Final energy**: -41.64 eV/atom
**Crystal system**: monoclinic

=====

Record 14
A PBEsol-optimized structure of Zn2ReAu. Source: Alexandria via LeMat-Bulk, functional SCAN.

Lattice parameters (Å, degrees): 4.998 4.998 4.998 136.46 136.46 63.28
Atoms (fractional coordinates):
Zn 0.000 0.000 0.000
Zn 0.750 0.250 0.500
Re 0.250 0.750 0.500
Au 0.500 0.500 0.000

**Formation energy from the elements**: 0.36 eV/atom
**SG**: I-4m2 (119)
**Total moment**: 0.00 μB/atom
**Offset from the most stable computed form**: 292 meV/atom
**Final energy**: -41.46 eV/atom
**Crystal system**: tetragonal

=====

Record 15
A PBEsol-optimized structure of ZnReAu2. Source: Alexandria via LeMat-Bulk, functional SCAN.

Lattice parameters (Å, degrees): 3.847 3.847 4.180 90.00 90.00 90.00
Atoms (fractional coordinates):
Zn 0.000 0.000 0.000
Re 0.500 0.500 0.000
Au 0.000 0.500 0.500
Au 0.500 0.000 0.500

**Formation energy from the elements**: 0.46 eV/atom
**SG**: P4/mmm (123)
**Total moment**: 0.00 μB/atom
**Final energy**: -55.27 eV/atom
**Crystal system**: tetragonal

=====

Record 16
A PBEsol-optimized structure of ZnReAu2. Source: Alexandria via LeMat-Bulk, functional SCAN.

Lattice parameters (Å, degrees): 4.860 4.860 5.023 100.64 100.64 32.13
Atoms (fractional coordinates):
Zn 0.000 0.000 0.000
Re 0.737 0.737 0.246
Au 0.256 0.256 0.759
Au 0.492 0.492 0.479

**Formation energy from the elements**: 0.29 eV/atom
**SG**: Cm (8)
**Total moment**: 0.09 μB/atom
**Final energy**: -55.44 eV/atom
**Crystal system**: monoclinic

=====

Record 17
A PBEsol-optimized structure of ZnReAu2. Source: Alexandria via LeMat-Bulk, functional SCAN.

Lattice parameters (Å, degrees): 2.706 4.059 5.630 90.00 90.40 90.00
Atoms (fractional coordinates):
Zn 0.000 0.000 0.000
Re 0.000 0.000 0.500
Au 0.497 0.500 0.251
Au 0.503 0.500 0.749

**Formation energy from the elements**: 0.35 eV/atom
**SG**: P2/m (10)
**Total moment**: 0.00 μB/atom
**Final energy**: -55.38 eV/atom
**Crystal system**: monoclinic

=====

Record 18
A PBEsol-optimized structure of Zn2ReAu. Source: Alexandria via LeMat-Bulk, functional SCAN.

Lattice parameters (Å, degrees): 2.692 2.692 8.044 90.00 90.00 90.00
Atoms (fractional coordinates):
Zn 0.000 0.000 0.244
Zn 0.000 0.000 0.756
Re 0.500 0.500 0.000
Au 0.500 0.500 0.500

**Formation energy from the elements**: 0.07 eV/atom
**SG**: P4/mmm (123)
**Total moment**: 0.00 μB/atom
**Offset from the most stable computed form**: 0 meV/atom
**Final energy**: -41.75 eV/atom
**Crystal system**: tetragonal

=====

Record 19
A PBEsol-optimized structure of ZrRe2Au. Source: Alexandria via LeMat-Bulk, functional SCAN.

Lattice parameters (Å, degrees): 3.020 3.020 7.409 90.00 90.00 90.00
Atoms (fractional coordinates):
Zr 0.000 0.000 0.000
Re 0.000 0.000 0.539
Re 0.500 0.500 0.731
Au 0.500 0.500 0.275

**Formation energy from the elements**: -0.15 eV/atom
**SG**: P4mm (99)
**Total moment**: 0.00 μB/atom
**Offset from the most stable computed form**: 0 meV/atom
**Final energy**: -60.66 eV/atom
**Crystal system**: tetragonal

=====

Record 20
A PBEsol-optimized structure of ZrRe2Au. Source: Alexandria via LeMat-Bulk, functional SCAN.

Lattice parameters (Å, degrees): 5.322 5.322 5.322 143.65 131.18 62.36
Atoms (fractional coordinates):
Zr 0.000 0.000 0.000
Re 0.244 0.744 0.500
Re 0.756 0.256 0.500
Au 0.500 0.500 0.000

**Formation energy from the elements**: 0.15 eV/atom
**SG**: Immm (71)
**Total moment**: 0.00 μB/atom
**Offset from the most stable computed form**: 300 meV/atom
**Final energy**: -60.36 eV/atom
**Crystal system**: orthorhombic